# 1
DFT (PBE) results for a geometry-optimized ErLuNO structure.

```
ErLuNO
1.0
6.4731 0.0000 0.0000
0.0000 7.9175 0.0000
0.0000 0.0000 4.7933
O Er Lu N
4 4 4 4
Cartesian
5.8691 2.8621 0.2456
2.6326 5.0554 0.2456
3.8405 2.8621 2.6422
0.6040 5.0554 2.6422
2.8080 4.9319 2.6403
3.6651 2.9856 0.2436
0.4286 4.9319 0.2436
6.0446 2.9856 2.6403
5.9285 6.9236 2.6384
3.7811 6.9236 0.2417
2.6920 0.9939 2.6384
0.5446 0.9939 0.2417
6.0067 6.9553 0.2393
2.7701 0.9622 0.2393
0.4664 0.9622 2.6359
3.7030 6.9553 2.6359
```

Results
Offset from the most stable computed form (eV per atom): 0.127

# 2
DFT (PBE) results for a geometry-optimized ErLuNO structure.

```
ErLuNO
1.0
2.9887 -2.1748 1.1922
-2.4581 -1.2650 3.8547
-2.5196 -5.2961 -3.3448
O Lu N Er
2 2 2 2
Cartesian
-0.0426 -2.6071 1.6767
-2.8730 -6.6055 1.4783
-1.9161 -2.3167 0.5773
-3.9882 -4.7212 1.3855
-2.7417 -4.0514 -0.5175
-3.1634 -2.9869 2.4815
-1.6901 -6.0702 -0.5105
-1.2254 -3.1425 3.6654
```

Results
Offset from the most stable computed form (eV per atom): 0.109

# 3
DFT (PBE) results for a geometry-optimized ErLuNO structure.

```
ErLuNO
1.0
-3.1720 1.0821 -3.3144
-2.9399 -3.2390 1.7560
-1.8833 3.2642 2.8681
N Er O Lu
2 2 2 2
Cartesian
-2.5263 2.1709 -0.2252
-2.4129 0.0149 2.3140
-3.9976 0.5537 0.6548
-0.9416 1.6321 1.4340
-3.0559 -1.0785 -0.7792
0.0000 0.0000 0.0000
-1.5875 0.5436 -1.6550
-3.3518 1.6422 3.7438
```

Results
Offset from the most stable computed form (eV per atom): 0.029

# 4
DFT (PBE) results for a geometry-optimized ErLuNO structure.

```
ErLuNO
1.0
3.0747 -3.0746 0.0000
3.0747 3.0746 0.0000
0.0000 0.0000 7.3791
O N Er Lu
2 2 2 2
Cartesian
3.0747 1.5373 0.0000
3.0747 -1.5373 0.0000
1.5374 0.0000 4.2190
4.6121 0.0000 3.1601
1.5374 0.0000 0.6281
4.6121 0.0000 6.7510
3.0747 -1.5373 3.6896
3.0747 1.5373 3.6896
```

Results
Offset from the most stable computed form (eV per atom): 0.506

# 5
DFT (PBE) results for a geometry-optimized ErLuNO structure.

```
ErLuNO
1.0
6.4478 0.0000 0.0000
0.0000 7.9239 0.0000
0.0000 0.0000 4.8222
O N Lu Er
4 4 4 4
Cartesian
0.6248 2.9458 2.6669
3.8487 4.9781 2.6669
2.5991 2.9458 0.2559
5.8230 4.9781 0.2559
6.0243 1.0139 0.2346
2.8004 6.9100 0.2346
3.6474 1.0139 2.6457
0.4235 6.9100 2.6457
6.0073 4.9199 2.6589
0.4405 3.0040 0.2478
3.6644 4.9199 0.2478
2.7834 3.0040 2.6589
5.9196 1.0176 2.6488
0.5282 6.9063 0.2377
3.7521 1.0176 0.2377
2.6957 6.9063 2.6488
```

Results
Offset from the most stable computed form (eV per atom): 0.153

# 6
DFT (PBE) results for a geometry-optimized ErLuNO structure.

```
ErLuNO
1.0
-3.8989 1.0937 2.4350
-2.0783 -3.9487 -1.5541
1.6793 -2.3592 3.7486
Lu N O Er
2 2 2 2
Cartesian
-2.6041 -1.3465 3.3120
-1.6938 -3.8677 1.3174
-0.6506 -1.8991 2.1036
-3.6474 -3.3151 2.5258
-2.5335 -2.6881 -0.5569
-3.4438 -0.1669 1.4377
-1.4922 -0.7168 0.2250
-2.8058 -4.4974 4.4044
```

Results
Offset from the most stable computed form (eV per atom): 0.000

# 7
DFT (PBE) results for a geometry-optimized ErLuNO structure.

```
ErLuNO
1.0
-1.8787 -3.2539 0.0000
0.0000 0.0000 5.4459
-5.6278 3.2492 0.0000
O Er Lu N
2 2 2 2
Cartesian
-1.9308 -1.0545 2.0643
-5.5757 1.0498 4.7872
-3.7729 2.1783 5.3686
-1.8550 1.0710 2.6457
-1.8494 -1.1015 5.3509
-5.6571 1.0968 2.6279
-3.7414 2.1601 2.2142
-1.8864 1.0891 4.9371
```

Results
Offset from the most stable computed form (eV per atom): 0.253

# 8
DFT (PBE) results for a geometry-optimized ErLuNO structure.

```
ErLuNO
1.0
-0.9932 2.4910 -3.9015
-2.3502 -3.7091 -1.7699
-3.9639 1.5560 2.0026
Er N O Lu
2 2 2 2
Cartesian
-3.3144 1.7190 -2.3673
-3.9929 -1.3810 -1.3015
-2.8119 0.4712 -0.4196
-4.4954 -0.1332 -3.2493
-1.3324 0.9410 -3.3686
-2.0109 -2.1591 -2.3028
-4.7974 1.2506 0.5836
-2.5099 -0.9126 -4.2524
```

Results
Offset from the most stable computed form (eV per atom): 0.027